The following is a PBE calculation of an optimized crystal structure of ThAg2Au9, from the Alexandria database.

Summary:
* spin magnetization: 0.00 μB per cell
* density of states at the Fermi level: 4.3 states/eV/f.u.
* calculated formation energy: -0.1402 eV per atom
* SG: R-3m (166)

Cell lengths 9.8054, 9.8054, 9.8054 Å; angles 32.64, 32.64, 32.64 degrees
Sites, in units of the cell vectors:
1 Th 0.0000 0.0000 0.0000
2 Ag 0.1485 0.1485 0.1485
3 Ag 0.8515 0.8515 0.8515
4 Au 0.0828 0.5875 0.5875
5 Au 0.3330 0.3330 0.3330
6 Au 0.4125 0.4125 0.9172
7 Au 0.4125 0.9172 0.4125
8 Au 0.5000 0.5000 0.5000
9 Au 0.5875 0.0828 0.5875
10 Au 0.5875 0.5875 0.0828
11 Au 0.6670 0.6670 0.6670
12 Au 0.9172 0.4125 0.4125